Entry 1:
# LaCd9Ga2, optimized geometry, DFT PBE
data_LaCd9Ga2
_cell_length_a 11.7347
_cell_length_b 11.7347
_cell_length_c 7.9655
_cell_angle_alpha 90.00
_cell_angle_beta 90.00
_cell_angle_gamma 90.00
_space_group_name_H-M_alt 'I 41/a m d'
_space_group_IT_number 141
loop_
_space_group_symop_operation_xyz
'x,y,z'
'-x,-y,-z'
'-y+1/4,x+3/4,z+1/4'
'y+1/4,-x+3/4,-z+1/4'
'-x+1/2,-y,z+1/2'
'x+1/2,y,-z+1/2'
'y+1/4,-x+1/4,z+3/4'
'-y+1/4,x+1/4,-z+3/4'
'x,-y,-z'
'-x,y,z'
'-y+1/4,-x+1/4,-z+3/4'
'y+1/4,x+1/4,z+3/4'
'-x+1/2,y,-z+1/2'
'x+1/2,-y,z+1/2'
'y+1/4,x+3/4,-z+1/4'
'-y+1/4,-x+3/4,z+1/4'
'x+1/2,y+1/2,z+1/2'
'-x+1/2,-y+1/2,-z+1/2'
'-y+3/4,x+1/4,z+3/4'
'y+3/4,-x+1/4,-z+3/4'
'-x,-y+1/2,z'
'x,y+1/2,-z'
'y+3/4,-x+3/4,z+1/4'
'-y+3/4,x+3/4,-z+1/4'
'x+1/2,-y+1/2,-z+1/2'
'-x+1/2,y+1/2,z+1/2'
'-y+3/4,-x+3/4,-z+1/4'
'y+3/4,x+3/4,z+1/4'
'-x,y+1/2,-z'
'x,-y+1/2,z'
'y+3/4,x+1/4,-z+3/4'
'-y+3/4,-x+1/4,z+3/4'
loop_
_atom_site_label
_atom_site_type_symbol
_atom_site_fract_x
_atom_site_fract_y
_atom_site_fract_z
La1 La 0.0000 0.2500 0.3750
Cd1 Cd 0.0000 0.2500 0.8750
Cd2 Cd 0.1215 0.0514 0.6700
Ga1 Ga 0.0000 0.0000 0.0000
# Crystal system: tetragonal
# Volume (Å³ per atom): 22.85
# Formation energy from the elements (eV/atom): -0.1090
# Size of the total moment (μB per formula unit): 0.000
# Total energy (hartree per atom): -0.0629



Entry 2:
# HgPbC3, optimized geometry, DFT PBE
data_HgPbC3
_cell_length_a 4.5589
_cell_length_b 4.5589
_cell_length_c 4.5589
_cell_angle_alpha 90.00
_cell_angle_beta 90.00
_cell_angle_gamma 90.00
_space_group_name_H-M_alt 'P m -3 m'
_space_group_IT_number 221
_space_group_name_Hall '-P 4 2 3'
loop_
_atom_site_label
_atom_site_type_symbol
_atom_site_fract_x
_atom_site_fract_y
_atom_site_fract_z
Hg1 Hg 0.0000 0.0000 0.0000
Pb1 Pb 0.5000 0.5000 0.5000
C1 C 0.0000 0.5000 0.5000
# Crystal system: cubic
# Volume (Å³ per atom): 18.95
# Formation energy from the elements (eV/atom): 3.3655
# Size of the total moment (μB per formula unit): 2.198
# Total energy (hartree per atom): -0.1092
# E above lowest polymorph (eV per atom): 0.1990



Entry 3:
# MnCd2In, optimized geometry, DFT PBE
data_MnCd2In
_cell_length_a 12.7129
_cell_length_b 3.0521
_cell_length_c 4.7045
_cell_angle_alpha 90.00
_cell_angle_beta 110.79
_cell_angle_gamma 90.00
_space_group_name_H-M_alt 'C 1 2/m 1'
_space_group_IT_number 12
loop_
_space_group_symop_operation_xyz
'x,y,z'
'-x,-y,-z'
'-x,y,-z'
'x,-y,z'
'x+1/2,y+1/2,z'
'-x+1/2,-y+1/2,-z'
'-x+1/2,y+1/2,-z'
'x+1/2,-y+1/2,z'
loop_
_atom_site_label
_atom_site_type_symbol
_atom_site_fract_x
_atom_site_fract_y
_atom_site_fract_z
Mn1 Mn 0.0000 0.0000 0.0000
Cd1 Cd 0.2023 0.5000 0.2036
In1 In 0.0000 0.5000 0.5000
# Crystal system: monoclinic
# Volume (Å³ per atom): 21.33
# Formation energy from the elements (eV/atom): 0.1350
# Size of the total moment (μB per formula unit): 3.285
# Total energy (hartree per atom): -0.1213